Record 1
Entry from Alexandria via LeMat-Bulk: NaPm2ScS4 after structural relaxation (PBE).

Lattice parameters (Å, degrees): 6.7646 3.9341 6.8813 90.00 109.27 90.00
Fractional positions:
Na: 0.0000 0.0000 0.0000
Pm: 0.5000 0.0000 0.5000
Pm: 0.5000 0.5000 0.0000
Sc: 0.0000 0.5000 0.5000
S: 0.2305 0.0000 0.7361
S: 0.2392 0.5000 0.2569
S: 0.7608 0.5000 0.7431
S: 0.7695 0.0000 0.2639

Results
**Magnetic moment**: 0.00 μB/atom
**E_form (uncorrected)**: -1849 meV per atom
**Electronic total energy**: -48.45 eV for the cell shown

***

Record 2
Entry from Alexandria via LeMat-Bulk: NaPmSc2S4 after structural relaxation (PBE).

Lattice parameters (Å, degrees): 6.6213 3.8012 6.7739 90.00 108.69 90.00
Fractional positions:
Na: 0.0000 0.0000 0.0000
Pm: 0.5000 0.5000 0.0000
Sc: 0.0000 0.5000 0.5000
Sc: 0.5000 0.0000 0.5000
S: 0.2386 0.0000 0.7268
S: 0.2578 0.5000 0.2748
S: 0.7422 0.5000 0.7252
S: 0.7614 0.0000 0.2732

Results
**Magnetic moment**: 0.00 μB/atom
**E_form (uncorrected)**: -1842 meV per atom
**Electronic total energy**: -49.98 eV for the cell shown

***

Record 3
Entry from Alexandria via LeMat-Bulk: Na3Pm2ScS6 after structural relaxation (PBE).

Lattice parameters (Å, degrees): 6.9198 6.9198 7.0701 99.42 99.42 120.02
Fractional positions:
Na: 0.0000 0.0000 0.0000
Na: 0.3334 0.6666 0.0000
Na: 0.6666 0.3334 0.0000
Pm: 0.1666 0.8334 0.5000
Pm: 0.8334 0.1666 0.5000
Sc: 0.5000 0.5000 0.5000
S: 0.1093 0.4244 0.2731
S: 0.2608 0.2608 0.7242
S: 0.4244 0.1093 0.2731
S: 0.5756 0.8907 0.7269
S: 0.7392 0.7392 0.2758
S: 0.8907 0.5756 0.7269

Results
**Magnetic moment**: 0.00 μB/atom
**E_form (uncorrected)**: -1772 meV per atom
**Electronic total energy**: -65.82 eV for the cell shown

***

Record 4
Entry from Alexandria via LeMat-Bulk: Na3PmSc2S6 after structural relaxation (PBE).

Lattice parameters (Å, degrees): 6.7288 6.7288 7.0319 99.22 99.22 120.04
Fractional positions:
Na: 0.0000 0.0000 0.0000
Na: 0.3353 0.6647 0.0000
Na: 0.6647 0.3353 0.0000
Pm: 0.5000 0.5000 0.5000
Sc: 0.1672 0.8328 0.5000
Sc: 0.8328 0.1672 0.5000
S: 0.0737 0.4263 0.2798
S: 0.2215 0.2215 0.7215
S: 0.4263 0.0737 0.2798
S: 0.5737 0.9263 0.7202
S: 0.7785 0.7785 0.2785
S: 0.9263 0.5737 0.7202

Results
**Magnetic moment**: 0.00 μB/atom
**E_form (uncorrected)**: -1750 meV per atom
**Electronic total energy**: -67.14 eV for the cell shown

***

Record 5
Entry from Alexandria via LeMat-Bulk: NaPmSiS4 after structural relaxation (PBE).

Lattice parameters (Å, degrees): 6.4963 6.5824 8.0494 90.00 105.36 90.00
Fractional positions:
Na: 0.2451 0.2500 0.4378
Na: 0.7549 0.7500 0.5622
Pm: 0.2742 0.2500 0.9452
Pm: 0.7258 0.7500 0.0548
Si: 0.2674 0.7500 0.1916
Si: 0.7326 0.2500 0.8084
S: 0.0649 0.7500 0.3560
S: 0.0955 0.7500 0.9256
S: 0.4851 0.0005 0.2362
S: 0.4851 0.4995 0.2362
S: 0.5149 0.9995 0.7638
S: 0.5149 0.5005 0.7638
S: 0.9045 0.2500 0.0744
S: 0.9351 0.2500 0.6440

Results
**Magnetic moment**: 0.00 μB/atom
**E_form (uncorrected)**: -1345 meV per atom
**Electronic total energy**: -74.84 eV for the cell shown

***

Record 6
Entry from Alexandria via LeMat-Bulk: Na2PmSiS4 after structural relaxation (PBE).

Lattice parameters (Å, degrees): 7.8656 7.8656 7.8656 122.64 117.86 89.62
Fractional positions:
Na: 0.0000 0.0000 0.0000
Na: 0.5000 0.0000 0.0000
Na: 0.5000 0.0000 0.5000
Na: 0.5000 0.5000 0.5000
Pm: 0.0000 0.5000 0.5000
Pm: 0.5000 0.5000 0.0000
Si: 0.0000 0.0000 0.5000
Si: 0.0000 0.5000 0.0000
S: 0.2086 0.7493 0.4594
S: 0.2101 0.2507 0.9594
S: 0.2231 0.2235 0.5004
S: 0.2231 0.7227 0.9996
S: 0.7769 0.2773 0.0004
S: 0.7769 0.7765 0.4996
S: 0.7899 0.7493 0.0406
S: 0.7914 0.2507 0.5406

Results
**Magnetic moment**: 0.00 μB/atom
**E_form (uncorrected)**: -1128 meV per atom
**Electronic total energy**: -76.69 eV for the cell shown

***

Record 7
Entry from Alexandria via LeMat-Bulk: Na3Pm3SiS8 after structural relaxation (PBE).

Lattice parameters (Å, degrees): 8.1455 8.1455 8.1455 58.59 58.59 58.59
Fractional positions:
Na: 0.0000 0.5000 0.5000
Na: 0.5000 0.0000 0.5000
Na: 0.5000 0.5000 0.0000
Pm: 0.0000 0.0000 0.5000
Pm: 0.0000 0.5000 0.0000
Pm: 0.5000 0.0000 0.0000
Si: 0.5000 0.5000 0.5000
S: 0.2443 0.2443 0.2443
S: 0.2843 0.7106 0.7106
S: 0.2894 0.2894 0.7157
S: 0.2894 0.7157 0.2894
S: 0.7106 0.2843 0.7106
S: 0.7106 0.7106 0.2843
S: 0.7157 0.2894 0.2894
S: 0.7557 0.7557 0.7557

Results
**Magnetic moment**: 0.00 μB/atom
**E_form (uncorrected)**: -1468 meV per atom
**Electronic total energy**: -78.66 eV for the cell shown

***

Record 8
Entry from Alexandria via LeMat-Bulk: Na2Pm2SiS6 after structural relaxation (PBE).

Lattice parameters (Å, degrees): 6.7722 6.7722 7.0641 98.69 98.69 119.02
Fractional positions:
Na: 0.1616 0.8384 0.0000
Na: 0.8384 0.1616 0.0000
Pm: 0.3324 0.6676 0.5000
Pm: 0.6676 0.3324 0.5000
Si: 0.0000 0.0000 0.5000
S: 0.0646 0.3561 0.7098
S: 0.2115 0.2115 0.2992
S: 0.3561 0.0646 0.7098
S: 0.6439 0.9354 0.2902
S: 0.7885 0.7885 0.7008
S: 0.9354 0.6439 0.2902

Results
**Magnetic moment**: 0.00 μB/atom
**E_form (uncorrected)**: -1332 meV per atom
**Electronic total energy**: -56.98 eV for the cell shown

***

Record 9
Entry from Alexandria via LeMat-Bulk: Na4Pm3SmS8 after structural relaxation (PBE).

Lattice parameters (Å, degrees): 8.1914 8.1914 8.1914 60.00 60.00 60.00
Fractional positions:
Na: 0.0000 0.0000 0.0000
Na: 0.0000 0.5000 0.5000
Na: 0.5000 0.0000 0.5000
Na: 0.5000 0.5000 0.0000
Pm: 0.0000 0.0000 0.5000
Pm: 0.0000 0.5000 0.0000
Pm: 0.5000 0.0000 0.0000
Sm: 0.5000 0.5000 0.5000
S: 0.2440 0.2440 0.2440
S: 0.2451 0.7433 0.7433
S: 0.2567 0.2567 0.7549
S: 0.2567 0.7549 0.2567
S: 0.7433 0.2451 0.7433
S: 0.7433 0.7433 0.2451
S: 0.7549 0.2567 0.2567
S: 0.7560 0.7560 0.7560

Results
**Magnetic moment**: 0.00 μB/atom
**E_form (uncorrected)**: -1811 meV per atom
**Electronic total energy**: -86.24 eV for the cell shown

***

Record 10
Entry from Alexandria via LeMat-Bulk: NaPm2SmS4 after structural relaxation (PBE).

Lattice parameters (Å, degrees): 6.9895 4.0195 6.9904 90.00 109.23 90.00
Fractional positions:
Na: 0.0000 0.0000 0.0000
Pm: 0.5000 0.0000 0.5000
Pm: 0.5000 0.5000 0.0000
Sm: 0.0000 0.5000 0.5000
S: 0.2475 0.0000 0.7496
S: 0.2515 0.5000 0.2530
S: 0.7485 0.5000 0.7470
S: 0.7525 0.0000 0.2504

Results
**Magnetic moment**: 0.00 μB/atom
**E_form (uncorrected)**: -1923 meV per atom
**Electronic total energy**: -47.43 eV for the cell shown